Record 1
This record from Alexandria via LeMat-Bulk describes a geometry-optimized LiAcZnAg3 structure. The functional is PBE.

Results
Total energy, eV/atom: -2.78

a b c (Å): 6.1383 6.5574 7.2537
angles (deg): 116.87 90.00 90.00
Last column: nearest neighbours and their distance in Å.
Atoms (fractional coordinates):
1 Ag 0.0000 0.2850 0.0000  2 Li 2.51, 2 Zn 2.74
2 Ag 0.2500 0.1512 0.3025  1 Li 2.64, 1 Zn 2.74
3 Ag 0.0000 0.7150 0.0000  2 Li 2.51, 2 Zn 2.74
4 Ag 0.5000 0.7150 0.0000  2 Li 2.51, 2 Zn 2.74
5 Ag 0.7500 0.8488 0.6975  1 Li 2.64, 1 Zn 2.74
6 Ag 0.5000 0.2850 0.0000  2 Li 2.51, 2 Zn 2.74
7 Zn 0.2500 0.3627 0.7254  5 Ag 2.74
8 Zn 0.7500 0.6373 0.2746  5 Ag 2.74
9 Li 0.7500 0.0529 0.1057  5 Ag 2.51-2.64
10 Li 0.2500 0.9471 0.8943  5 Ag 2.51-2.64
11 Ac 0.2500 0.7117 0.4233  1 Li 3.05, 2 Zn 3.22, 2 Ag 3.37
12 Ac 0.7500 0.2883 0.5767  1 Li 3.05, 2 Zn 3.22, 2 Ag 3.37

---

Record 2
This record from Alexandria via LeMat-Bulk describes a geometry-optimized LiAcZnAg structure. The functional is PBE.

Results
Energy above the most stable polymorph in this dataset, kJ/mol of formula units: 33.9

a b c (Å): 5.2174 5.2174 5.2174
angles (deg): 60.00 60.00 60.00
Last column: nearest neighbours and their distance in Å.
Atoms (fractional coordinates):
1 Zn 0.7500 0.7500 0.7500  4 Li 3.20, 4 Ac 3.20
2 Li 0.5000 0.5000 0.5000  4 Ag 3.20, 4 Zn 3.20
3 Ac 0.0000 0.0000 0.0000  4 Zn 3.20, 4 Ag 3.20
4 Ag 0.2500 0.2500 0.2500  4 Ac 3.20, 4 Li 3.20

---

Record 3
This record from Alexandria via LeMat-Bulk describes a geometry-optimized LiAcZn2Ag structure. The functional is PBE.

Results
Total energy, eV/atom: -2.50

a b c (Å): 4.2185 4.2185 6.9132
angles (deg): 107.76 107.76 90.00
Last column: nearest neighbours and their distance in Å.
Atoms (fractional coordinates):
1 Ac 0.0000 0.0000 0.0000  8 Zn 3.30
2 Ag 0.2500 0.7500 0.5000  4 Zn 2.71, 4 Li 2.98
3 Zn 0.3868 0.3868 0.7736  2 Ag 2.71, 2 Li 2.71, 1 Zn 2.82
4 Zn 0.6132 0.6132 0.2264  2 Li 2.71, 2 Ag 2.71, 1 Zn 2.82
5 Li 0.7500 0.2500 0.5000  4 Zn 2.71, 4 Ag 2.98